[1]
{
  "formula": "CaBe3Rh",
  "functional": "meta-GGA SCAN",
  "state": "PBEsol geometry",
  "e_form_ev_per_atom": -0.22,
  "density_g_cm3": 3.7,
  "dos_at_fermi_per_ev_cell": 1.77,
  "lattice_angstrom": [[4.259, 0.000, 0.000], [0.000, 4.259, 0.000], [0.000, 0.000, 4.259]],
  "species": ["Rh", "Be", "Be", "Be", "Ca"],
  "frac_coords": [[0.000, 0.000, 0.000], [0.500, 0.000, 0.000], [0.000, 0.000, 0.500], [0.000, 0.500, 0.000], [0.500, 0.500, 0.500]]
}

---

[2]
{
  "formula": "ReTeRh2",
  "functional": "meta-GGA SCAN",
  "state": "PBEsol geometry",
  "density_g_cm3": 13.9,
  "dos_at_fermi_per_ev_cell": 3.33,
  "formation_energy_uncorrected_ev_per_atom": 0.271,
  "lattice_angstrom": [[-0.349, 0.672, -2.758], [2.298, -3.614, -1.172], [-4.143, -2.600, -0.109]],
  "species": ["Rh", "Rh", "Te", "Re"],
  "frac_coords": [[0.000, 0.500, 0.726], [0.000, 0.000, 0.048], [0.500, 0.000, 0.537], [0.500, 0.500, 0.190]]
}

---

[3]
{
  "formula": "InSn2Br5",
  "functional": "meta-GGA SCAN",
  "state": "PBEsol geometry",
  "density_g_cm3": 5.4,
  "dos_at_fermi_per_ev_cell": 0.00,
  "formation_energy_uncorrected_ev_per_atom": -0.733,
  "lattice_angstrom": [[8.122, 0.000, 0.000], [-4.061, 8.103, 0.061], [0.000, 4.018, 7.059]],
  "species": ["Br", "Br", "Br", "Br", "Br", "Br", "Br", "Br", "Br", "Br", "Sn", "Sn", "Sn", "Sn", "In", "In"],
  "frac_coords": [[0.000, 0.000, 0.000], [0.202, 0.720, 0.298], [0.019, 0.720, 0.798], [0.519, 0.720, 0.981], [0.500, 0.000, 0.500], [0.702, 0.720, 0.481], [0.981, 0.280, 0.202], [0.481, 0.280, 0.019], [0.298, 0.280, 0.519], [0.798, 0.280, 0.702], [0.164, 0.000, 0.336], [0.336, 0.000, 0.836], [0.836, 0.000, 0.664], [0.664, 0.000, 0.164], [0.750, 0.500, 0.250], [0.250, 0.500, 0.750]]
}

---

[4]
{
  "formula": "MnZn2In",
  "functional": "meta-GGA SCAN",
  "state": "PBEsol geometry",
  "e_form_ev_per_atom": 0.12,
  "density_g_cm3": 7.5,
  "dos_at_fermi_per_ev_cell": 2.13,
  "lattice_angstrom": [[-2.679, 1.200, 0.036], [-2.377, -1.719, 0.110], [-1.452, 0.078, 8.992]],
  "species": ["In", "Zn", "Zn", "Mn"],
  "frac_coords": [[0.500, 0.500, 0.500], [0.260, 0.260, 0.220], [0.740, 0.740, 0.780], [0.000, 0.000, 0.000]]
}

---

[5]
{
  "formula": "ZnP2PdCl",
  "functional": "meta-GGA SCAN",
  "state": "PBEsol geometry",
  "density_g_cm3": 4.3,
  "dos_at_fermi_per_ev_cell": 2.00,
  "formation_energy_uncorrected_ev_per_atom": 0.601,
  "lattice_angstrom": [[4.582, 0.000, 0.000], [0.000, 4.582, 0.000], [0.000, 0.000, 4.916]],
  "species": ["Cl", "Pd", "P", "P", "Zn"],
  "frac_coords": [[0.000, 0.000, 0.500], [0.000, 0.000, 0.000], [0.000, 0.500, 0.000], [0.500, 0.000, 0.000], [0.500, 0.500, 0.500]]
}

---

[6]
{
  "formula": "Fe2Rh3",
  "functional": "meta-GGA SCAN",
  "state": "PBEsol geometry",
  "e_form_ev_per_atom": -0.08,
  "density_g_cm3": 10.8,
  "dos_at_fermi_per_ev_cell": 10.37,
  "lattice_angstrom": [[4.634, 0.000, 0.000], [2.317, 4.460, 0.000], [-2.317, 0.000, 6.241]],
  "species": ["Fe", "Fe", "Fe", "Fe", "Rh", "Rh", "Rh", "Rh", "Rh", "Rh"],
  "frac_coords": [[0.199, 0.447, 0.096], [0.353, 0.947, 0.404], [0.896, 0.053, 0.596], [0.550, 0.553, 0.904], [0.439, 0.098, 0.801], [0.326, 0.500, 0.500], [0.787, 0.402, 0.301], [0.888, 0.598, 0.699], [0.076, 0.000, 0.000], [0.736, 0.902, 0.199]]
}

---

[7]
{
  "formula": "ScOsRu2",
  "functional": "meta-GGA SCAN",
  "state": "PBEsol geometry",
  "e_form_ev_per_atom": -0.02,
  "density_g_cm3": 12.1,
  "dos_at_fermi_per_ev_cell": 3.71,
  "lattice_angstrom": [[-0.599, -1.680, 2.182], [4.185, -1.265, 0.174], [-0.817, 5.130, 1.907]],
  "species": ["Os", "Ru", "Ru", "Sc"],
  "frac_coords": [[0.279, 0.779, 0.557], [0.722, 0.222, 0.444], [0.999, 0.999, 0.998], [0.500, 0.500, 0.000]]
}

---

[8]
{
  "formula": "YCu",
  "functional": "meta-GGA SCAN",
  "state": "PBEsol geometry",
  "e_form_ev_per_atom": -0.32,
  "density_g_cm3": 6.1,
  "dos_at_fermi_per_ev_cell": 4.28,
  "lattice_angstrom": [[-3.393, 1.561, -2.347], [-2.657, -4.508, 0.844], [-2.795, 2.747, 5.869]],
  "species": ["Y", "Y", "Y", "Y", "Cu", "Cu", "Cu", "Cu"],
  "frac_coords": [[0.250, 0.867, 0.319], [0.750, 0.133, 0.681], [0.750, 0.367, 0.181], [0.250, 0.633, 0.819], [0.750, 0.624, 0.532], [0.250, 0.124, 0.968], [0.750, 0.876, 0.032], [0.250, 0.376, 0.468]]
}

---

[9]
{
  "formula": "SrMgCr2Hg",
  "functional": "meta-GGA SCAN",
  "state": "PBEsol geometry",
  "e_form_ev_per_atom": 0.58,
  "density_g_cm3": 4.4,
  "dos_at_fermi_per_ev_cell": 3.13,
  "lattice_angstrom": [[-4.602, -0.062, -2.465], [2.255, -2.218, -4.154], [-1.104, -5.225, 2.191]],
  "species": ["Hg", "Cr", "Cr", "Mg", "Sr"],
  "frac_coords": [[0.000, 0.000, 0.000], [0.000, 0.500, 0.000], [0.500, 0.000, 0.000], [0.500, 0.500, 0.500], [0.000, 0.000, 0.500]]
}

---

[10]
{
  "formula": "KTe2O",
  "functional": "meta-GGA SCAN",
  "state": "PBEsol geometry",
  "density_g_cm3": 4.1,
  "dos_at_fermi_per_ev_cell": 2.98,
  "formation_energy_uncorrected_ev_per_atom": -0.608,
  "lattice_angstrom": [[6.281, 0.000, 0.000], [0.000, 6.281, 0.000], [-3.140, -3.140, 6.358]],
  "species": ["Te", "Te", "Te", "Te", "K", "K", "O", "O"],
  "frac_coords": [[0.625, 0.875, 0.250], [0.625, 0.375, 0.250], [0.625, 0.375, 0.750], [0.125, 0.375, 0.750], [0.250, 0.750, 0.500], [0.000, 0.000, 0.000], [0.500, 0.500, 0.000], [0.750, 0.250, 0.500]]
}

---

[11]
{
  "formula": "Hf3Ni4Ge4",
  "functional": "meta-GGA SCAN",
  "state": "PBEsol geometry",
  "e_form_ev_per_atom": -0.75,
  "density_g_cm3": 11.1,
  "dos_at_fermi_per_ev_cell": 2.66,
  "lattice_angstrom": [[3.866, 0.000, 0.000], [0.000, 6.433, 0.000], [-1.933, -3.216, 6.378]],
  "species": ["Ge", "Ge", "Ge", "Ge", "Ni", "Ni", "Ni", "Ni", "Hf", "Hf", "Hf"],
  "frac_coords": [[0.000, 0.800, 0.000], [0.713, 0.713, 0.426], [0.287, 0.287, 0.574], [0.000, 0.200, 0.000], [0.177, 0.477, 0.354], [0.823, 0.523, 0.646], [0.823, 0.123, 0.646], [0.177, 0.877, 0.354], [0.628, 0.128, 0.256], [0.372, 0.872, 0.744], [0.500, 0.500, 0.000]]
}

---

[12]
{
  "formula": "CuHgTe2",
  "functional": "meta-GGA SCAN",
  "state": "PBEsol geometry",
  "density_g_cm3": 7.5,
  "dos_at_fermi_per_ev_cell": 4.50,
  "formation_energy_uncorrected_ev_per_atom": -0.101,
  "lattice_angstrom": [[6.156, 0.000, 0.000], [0.000, 6.156, 0.000], [-3.078, -3.078, 6.057]],
  "species": ["Te", "Te", "Te", "Te", "Cu", "Cu", "Hg", "Hg"],
  "frac_coords": [[0.834, 0.375, 0.250], [0.125, 0.166, 0.750], [0.416, 0.875, 0.250], [0.625, 0.584, 0.750], [0.750, 0.250, 0.500], [0.500, 0.500, 0.000], [0.250, 0.750, 0.500], [0.000, 0.000, 0.000]]
}